Compound: BeCdAg2
Source: the Alexandria database
Functional: meta-GGA SCAN
Structure: PBEsol geometry

```
data_BeCdAg2
_symmetry_space_group_name_H-M 'P 1'
_symmetry_Int_Tables_number 1
_cell_length_a 3.0154
_cell_length_b 4.5585
_cell_length_c 5.1862
_cell_angle_alpha 115.12
_cell_angle_beta 106.90
_cell_angle_gamma 90.00
loop_
_symmetry_equiv_pos_as_xyz
'x,y,z'
loop_
_atom_site_label
_atom_site_type_symbol
_atom_site_fract_x
_atom_site_fract_y
_atom_site_fract_z
Be1 Be 0.0000 0.5000 0.0000
Cd1 Cd 0.5000 0.0000 0.0000
Ag1 Ag 0.2868 0.2863 0.5735
Ag2 Ag 0.7132 0.7137 0.4265
```

Results
Relative energy among the computed polymorphs (eV per atom): 0.0000
E_form (meV/atom): 79
Energy (eV per formula unit): -97.19
Space group: C2/m, No. 12

Compound: BeCdAg2
Source: the Alexandria database
Functional: meta-GGA SCAN
Structure: PBEsol geometry

```
data_BeCdAg2
_symmetry_space_group_name_H-M 'P 1'
_symmetry_Int_Tables_number 1
_cell_length_a 4.4487
_cell_length_b 4.4487
_cell_length_c 4.4487
_cell_angle_alpha 60.00
_cell_angle_beta 60.00
_cell_angle_gamma 60.00
loop_
_symmetry_equiv_pos_as_xyz
'x,y,z'
loop_
_atom_site_label
_atom_site_type_symbol
_atom_site_fract_x
_atom_site_fract_y
_atom_site_fract_z
Ag1 Ag 0.7500 0.7500 0.7500
Ag2 Ag 0.2500 0.2500 0.2500
Be1 Be 0.0000 0.0000 0.0000
Cd1 Cd 0.5000 0.5000 0.5000
```

Results
Relative energy among the computed polymorphs (eV per atom): 0.0842
E_form (meV/atom): 163
Energy (eV per formula unit): -96.85
Space group: Fm-3m, No. 225

Q: Which value of E_form does entry 1 give?
A: 79 meV/atom

Q: Among the records above, which one has the lowest E_form?
A: number 1

Please write out number 1 again, unchanged.
Compound: BeCdAg2
Source: the Alexandria database
Functional: meta-GGA SCAN
Structure: PBEsol geometry

```
data_BeCdAg2
_symmetry_space_group_name_H-M 'P 1'
_symmetry_Int_Tables_number 1
_cell_length_a 3.0154
_cell_length_b 4.5585
_cell_length_c 5.1862
_cell_angle_alpha 115.12
_cell_angle_beta 106.90
_cell_angle_gamma 90.00
loop_
_symmetry_equiv_pos_as_xyz
'x,y,z'
loop_
_atom_site_label
_atom_site_type_symbol
_atom_site_fract_x
_atom_site_fract_y
_atom_site_fract_z
Be1 Be 0.0000 0.5000 0.0000
Cd1 Cd 0.5000 0.0000 0.0000
Ag1 Ag 0.2868 0.2863 0.5735
Ag2 Ag 0.7132 0.7137 0.4265
```

Results
Relative energy among the computed polymorphs (eV per atom): 0.0000
E_form (meV/atom): 79
Energy (eV per formula unit): -97.19
Space group: C2/m, No. 12